Na2SiBiTe4, relaxed, DFT PBE; SG = No. 31; ΔE_f (raw) = -337.8 meV/atom
1.0
10.322 0.000 0.000
0.000 8.442 0.000
0.000 0.000 6.936
Na Si Bi Te
4 2 2 8
Direct
0.245 0.157 0.000
0.255 0.843 0.500
0.745 0.843 0.500
0.755 0.157 0.000
0.000 0.651 0.073
0.500 0.349 0.573
0.000 0.327 0.521
0.500 0.673 0.021
0.000 0.354 0.003
0.000 0.667 0.441
0.209 0.788 0.957
0.291 0.212 0.457
0.500 0.333 0.941
0.500 0.646 0.503
0.709 0.212 0.457
0.791 0.788 0.957

***

NaVSi2Bi, relaxed, DFT PBE; SG = No. 123; ΔE_f (raw) = 221.1 meV/atom
1.0
4.702 0.000 0.000
0.000 4.702 0.000
0.000 0.000 5.284
Na V Si Bi
1 1 2 1
Direct
0.000 0.000 0.000
0.500 0.500 0.500
0.000 0.500 0.500
0.500 0.000 0.500
0.500 0.500 0.000

***

NaSm2Bi, relaxed, DFT PBE; SG = No. 123; formation enthalpy at 0 K = -316 meV/atom
1.0
5.123 0.000 0.000
0.000 5.123 0.000
0.000 0.000 4.549
Na Sm Bi
1 2 1
Direct
0.000 0.000 0.000
0.000 0.500 0.500
0.500 0.000 0.500
0.500 0.500 0.000

***

NaSmSnBi, relaxed, DFT PBE; SG = No. 216; formation enthalpy at 0 K = -364 meV/atom
1.0
7.745 0.000 0.000
0.000 7.745 0.000
0.000 0.000 7.745
Na Sm Sn Bi
4 4 4 4
Direct
0.000 0.000 0.000
0.000 0.500 0.500
0.500 0.000 0.500
0.500 0.500 0.000
0.000 0.000 0.500
0.000 0.500 0.000
0.500 0.000 0.000
0.500 0.500 0.500
0.250 0.250 0.250
0.250 0.750 0.750
0.750 0.250 0.750
0.750 0.750 0.250
0.250 0.250 0.750
0.250 0.750 0.250
0.750 0.250 0.250
0.750 0.750 0.750

***

Na3SmBi2Te6, relaxed, DFT PBE; SG = No. 12; ΔE_f (raw) = -799.7 meV/atom
1.0
3.911 -6.778 0.000
3.911 6.778 0.000
-2.607 0.000 7.601
Na Sm Bi Te
3 1 2 6
Direct
0.000 0.000 0.000
0.328 0.672 0.000
0.672 0.328 0.000
0.500 0.500 0.500
0.166 0.834 0.500
0.834 0.166 0.500
0.088 0.422 0.265
0.245 0.245 0.738
0.422 0.088 0.265
0.578 0.912 0.735
0.755 0.755 0.262
0.912 0.578 0.735

***

NaSmTh2Bi4, relaxed, DFT PBE; SG = No. 10; formation enthalpy at 0 K = -589 meV/atom
1.0
7.911 0.000 0.000
0.000 4.617 0.000
-2.647 0.000 7.570
Na Sm Th Bi
1 1 2 4
Direct
0.000 0.000 0.000
0.000 0.500 0.500
0.500 0.000 0.500
0.500 0.500 0.000
0.248 0.000 0.750
0.254 0.500 0.252
0.746 0.500 0.748
0.752 0.000 0.250

***

Q: Which total magnetization values were calculated for the entries above? A: 0.00 0.00 0.00 0.00 0.00 0.00, in μB per formula unit.